1.
Material: Ce2AlCo3
Method: DFT, PBE
State: relaxed

The formation energy is -1.6 eV/f.u. The value obtained for the energy above the lowest structure with this stoichiometry is 0.085 eV/atom. The total moment comes out at 0.00 μB/atom.

Cell: 7.1253 7.1253 4.8869 Å, 90.00 90.00 59.95°
Atoms (fractional coordinates):
Ce 0.0499 0.6590 0.7500
Ce 0.3410 0.9501 0.7500
Ce 0.6590 0.0499 0.2500
Ce 0.9501 0.3410 0.2500
Al 0.3901 0.6099 0.2500
Al 0.6099 0.3901 0.7500
Co 0.0415 0.9585 0.2500
Co 0.3356 0.3356 0.0000
Co 0.3356 0.3356 0.5000
Co 0.6644 0.6644 0.0000
Co 0.6644 0.6644 0.5000
Co 0.9585 0.0415 0.7500

2.
Material: TcCl2O
Method: DFT, PBE
State: relaxed

The value obtained for the energy above the lowest structure with this stoichiometry is 0.000 eV/atom. The total moment comes out at 0.13 μB/atom. The value obtained for the raw formation energy is -0.950 eV/atom.

Cell: 7.2567 7.2567 7.2567 Å, 152.74 150.26 40.78°
Atoms (fractional coordinates):
Tc 0.0000 0.0000 0.0000
Cl 0.1276 0.6276 0.5000
Cl 0.8724 0.3724 0.5000
O 0.5000 0.0000 0.5000

3.
Material: Mg2AlAs
Method: DFT, PBE
State: relaxed

The formation energy is -0.3 eV/f.u. The value obtained for the energy above the lowest structure with this stoichiometry is 0.053 eV/atom. The total moment comes out at 0.00 μB/atom.

Cell: 4.7743 4.7743 5.5221 Å, 103.88 103.88 41.82°
Atoms (fractional coordinates):
Mg 0.2423 0.2423 0.2520
Mg 0.7577 0.7577 0.7480
Al 0.0000 0.0000 0.5000
As 0.5000 0.5000 0.0000

4.
Material: Nb4Re2Tc
Method: DFT, PBE
State: relaxed

The formation energy is 8.2 eV/f.u. The value obtained for the energy above the lowest structure with this stoichiometry is 1.167 eV/atom. The total moment comes out at 0.00 μB/atom.

Cell: 7.3060 7.3060 7.3060 Å, 142.39 142.39 54.24°
Atoms (fractional coordinates):
Nb 0.0000 0.5000 0.5000
Nb 0.1958 0.1958 0.0000
Nb 0.5000 0.0000 0.5000
Nb 0.8042 0.8042 0.0000
Re 0.3825 0.3825 0.0000
Re 0.6175 0.6175 0.0000
Tc 0.0000 0.0000 0.0000

5.
Material: LiLa2YH
Method: DFT, PBE
State: relaxed

The value obtained for the energy above the lowest structure with this stoichiometry is 0.000 eV/atom. The total moment comes out at 0.00 μB/atom.

Cell: 5.6307 5.6307 3.9737 Å, 90.00 90.00 90.00°
Atoms (fractional coordinates):
Li 0.0000 0.0000 0.0000
La 0.0000 0.5000 0.5000
La 0.5000 0.0000 0.5000
Y 0.5000 0.5000 0.0000
H 0.0000 0.0000 0.5000

6.
Material: Mg5Hg2
Method: DFT, PBE
State: relaxed

The formation energy is -1.2 eV/f.u. The total moment comes out at 0.00 μB/atom.

Cell: 8.3598 8.3598 8.3598 Å, 128.70 69.29 136.75°
Atoms (fractional coordinates):
Mg 0.0172 0.2500 0.7672
Mg 0.0855 0.6584 0.7439
Mg 0.2500 0.2500 0.0000
Mg 0.4145 0.1584 0.5729
Mg 0.4828 0.2500 0.2328
Mg 0.5172 0.7500 0.7672
Mg 0.5855 0.8416 0.4271
Mg 0.7500 0.7500 0.0000
Mg 0.9145 0.3416 0.2561
Mg 0.9828 0.7500 0.2328
Hg 0.1238 0.2679 0.3917
Hg 0.3762 0.7679 0.1442
Hg 0.6238 0.2321 0.8558
Hg 0.8762 0.7321 0.6083

7.
Material: In2Pt9W
Method: DFT, PBE
State: relaxed

The formation energy is -4.4 eV/f.u. The total moment comes out at 0.00 μB/atom.

Cell: 4.0219 4.0219 12.0810 Å, 90.00 90.00 90.00°
Atoms (fractional coordinates):
In 0.0000 0.0000 0.1652
In 0.0000 0.0000 0.8348
Pt 0.0000 0.5000 0.0000
Pt 0.0000 0.5000 0.3440
Pt 0.0000 0.5000 0.6560
Pt 0.5000 0.0000 0.0000
Pt 0.5000 0.0000 0.3440
Pt 0.5000 0.0000 0.6560
Pt 0.5000 0.5000 0.1713
Pt 0.5000 0.5000 0.5000
Pt 0.5000 0.5000 0.8287
W 0.0000 0.0000 0.5000

8.
Material: SrAc2Ni2
Method: DFT, PBE
State: relaxed

The formation energy is -0.6 eV/f.u. The total moment comes out at 0.00 μB/atom.

Cell: 7.4953 7.4953 5.8927 Å, 113.08 113.08 33.36°
Atoms (fractional coordinates):
Sr 0.0000 0.0000 0.0000
Ac 0.3185 0.3185 0.3183
Ac 0.6815 0.6815 0.6817
Ni 0.3317 0.3317 0.8314
Ni 0.6683 0.6683 0.1686

9.
Material: Rb2TlH2Br4
Method: DFT, PBE
State: relaxed

The electronic total energy comes out at -2.675 eV per atom. The total moment comes out at 0.00 μB/atom.

Cell: 7.2176 7.2176 7.2176 Å, 112.60 112.60 103.39°
Atoms (fractional coordinates):
Rb 0.2500 0.7500 0.5000
Rb 0.7500 0.2500 0.5000
Tl 0.0000 0.0000 0.0000
H 0.1893 0.1893 0.0000
H 0.8107 0.8107 0.0000
Br 0.2593 0.2593 0.5187
Br 0.2593 0.7407 0.0000
Br 0.7407 0.2593 0.0000
Br 0.7407 0.7407 0.4813

10.
Material: KCa2Fe
Method: DFT, PBE
State: relaxed

The formation energy is 2.0 eV/f.u. The value obtained for the energy above the lowest structure with this stoichiometry is 0.100 eV/atom. The total moment comes out at 0.56 μB/atom.

Cell: 4.1468 4.1468 11.1168 Å, 95.33 95.33 52.12°
Atoms (fractional coordinates):
K 0.0000 0.0000 0.0000
Ca 0.2249 0.2249 0.6646
Ca 0.7751 0.7751 0.3354
Fe 0.5000 0.5000 0.5000

11.
Material: NaSrCl2
Method: DFT, PBE
State: relaxed

The value obtained for the energy above the lowest structure with this stoichiometry is 0.108 eV/atom. The total moment comes out at 0.00 μB/atom. The value obtained for the raw formation energy is -1.625 eV/atom.

Cell: 8.8501 8.8501 8.8501 Å, 28.46 28.46 28.46°
Atoms (fractional coordinates):
Na 0.0000 0.0000 0.0000
Sr 0.5000 0.5000 0.5000
Cl 0.3911 0.3911 0.3911
Cl 0.6089 0.6089 0.6089

12.
Material: SnHgBr2
Method: DFT, PBE
State: relaxed

The value obtained for the energy above the lowest structure with this stoichiometry is 0.100 eV/atom. The total moment comes out at 0.00 μB/atom. The value obtained for the raw formation energy is -0.438 eV/atom.

Cell: 8.4017 8.4017 8.4017 Å, 117.90 117.90 93.68°
Atoms (fractional coordinates):
Sn 0.0000 0.0000 0.0000
Sn 0.7500 0.2500 0.5000
Hg 0.2500 0.7500 0.5000
Hg 0.5000 0.5000 0.0000
Br 0.0140 0.6250 0.8890
Br 0.3750 0.2640 0.3890
Br 0.7360 0.1250 0.1110
Br 0.8750 0.9860 0.6110